(1)
The following is a GGA-PBE calculation of MgCu2Tc after structural relaxation, from the Alexandria database.

Cell: 2.7489 4.5576 4.5200 Å, 90.00 90.00 90.00°
With the nearest neighbours (Å) after each atom.
Element x y z (fractional)
Cu  0.0000  0.0000  0.0000  4 Mg 2.65, 6 Cu 2.66-2.75
Cu  0.5000  0.5000  0.0000  4 Tc 2.65, 6 Cu 2.66-2.75
Mg  0.5000  0.0000  0.5000  4 Cu 2.65, 4 Tc 2.66, 2 Mg 2.75
Tc  0.0000  0.5000  0.5000  4 Cu 2.65, 4 Mg 2.66, 2 Tc 2.75

Results
The value obtained for the energy of formation from the pure elements is 0.3131 eV/atom.

=====

(2)
The following is a GGA-PBE calculation of Pr2CoSn4 after structural relaxation, from the Alexandria database.

Cell: 8.8655 8.8655 4.5537 Å, 90.00 90.00 150.11°
With the nearest neighbours (Å) after each atom.
Element x y z (fractional)
Sn  0.2399  0.7601  0.5000  2 Co 2.52
Sn  0.4475  0.5525  0.0000  1 Co 2.49
Pr  0.0989  0.9011  0.0000  10 Sn 3.29-3.46, 1 Co 3.48
Pr  0.8921  0.1079  0.5000  10 Sn 3.36-3.71, 4 Co 3.57
Sn  0.7387  0.2613  0.0000  2 Co 2.53
Sn  0.5626  0.4374  0.5000  2 Sn 3.01, 4 Pr 3.29
Co  0.3023  0.6977  0.0000  5 Sn 2.49-2.53

Results
The value obtained for the energy of formation from the pure elements is -0.5767 eV/atom.

=====

(3)
The following is a GGA-PBE calculation of SrMnMo after structural relaxation, from the Alexandria database.

Cell: 4.9402 4.9402 4.9402 Å, 60.00 60.00 60.00°
With the nearest neighbours (Å) after each atom.
Element x y z (fractional)
Sr  0.7500  0.7500  0.7500  4 Mn 3.03, 4 Mo 3.03
Mo  0.5000  0.5000  0.5000  4 Sr 3.03
Mn  0.0000  0.0000  0.0000  4 Sr 3.03

Results
The value obtained for the energy of formation from the pure elements is 2.1436 eV/atom.

=====

(4)
The following is a GGA-PBE calculation of Mn2FeBr after structural relaxation, from the Alexandria database.

Cell: 4.4638 4.4638 4.4638 Å, 60.00 60.00 60.00°
With the nearest neighbours (Å) after each atom.
Element x y z (fractional)
Br  0.5000  0.5000  0.5000  4 Fe 2.73, 4 Mn 2.73
Mn  0.0000  0.0000  0.0000  4 Mn 2.73, 4 Fe 2.73
Mn  0.2500  0.2500  0.2500  4 Br 2.73, 4 Mn 2.73
Fe  0.7500  0.7500  0.7500  4 Br 2.73, 4 Mn 2.73

Results
The calculation puts the raw formation energy at 892 meV/atom.

=====

Q: Which total moment values were calculated for the entries above? A: 0.1 0.0 7.5 10.2, in Bohr magnetons per cell.
Q: Which total DFT energy (no corrections) values were calculated for the entries above? A: -4.725 -5.245 -5.084 -6.226, in eV per atom.